## AcLa5Tm4 (PBE-GGA)

Data for a relaxed AcLa5Tm4 crystal.

Computed properties:
For the volume, the calculation gives 350.1 Å³/cell. The formation energy comes out at 0.033 eV/atom. For the density, the calculation gives 7.6 g cm⁻³.

Structure (POSCAR):
```
AcLa5Tm4
1.0
3.741 0.000 0.000
0.000 3.741 0.000
0.000 0.000 25.015
Ac La Tm
1 5 4
Cartesian
0.000 0.000 0.000
1.871 1.871 2.805
1.871 1.871 7.683
1.871 1.871 12.508
1.871 1.871 17.332
1.871 1.871 22.210
0.000 0.000 5.255
0.000 0.000 10.095
0.000 0.000 14.920
0.000 0.000 19.760
```



## AcLa12Tm7 (PBE-GGA)

Data for a relaxed AcLa12Tm7 crystal.

Computed properties:
The value obtained for the polymorph energy (0 for the lowest one) is 91.4 meV per atom. For the volume, the calculation gives 730.3 Å³/cell. The formation energy comes out at 0.283 eV/atom. For the density, the calculation gives 7.0 g cm⁻³.

Structure (POSCAR):
```
AcLa12Tm7
1.0
6.436 0.000 -1.325
-3.287 9.811 -5.106
0.138 0.000 11.537
Ac La Tm
1 12 7
Cartesian
0.000 0.000 0.000
-0.788 5.503 -0.703
-0.291 2.017 6.328
0.983 6.288 7.209
0.114 9.431 -1.878
1.492 3.485 4.126
-0.978 6.668 3.684
4.265 3.142 1.423
1.795 6.325 0.981
3.173 0.380 6.984
2.304 3.522 -2.102
3.578 7.793 -1.221
4.075 4.308 5.810
-2.216 7.381 -3.191
-0.014 0.597 3.220
2.424 6.784 4.203
3.218 0.000 -0.662
0.863 3.027 0.903
3.302 9.214 1.887
5.503 2.430 8.297
```



## Ac5La2Tm2 (PBE-GGA)

Data for a relaxed Ac5La2Tm2 crystal.

Computed properties:
For the volume, the calculation gives 356.3 Å³/cell. The formation energy comes out at 0.046 eV/atom. For the density, the calculation gives 8.2 g cm⁻³.

Structure (POSCAR):
```
Ac5La2Tm2
1.0
-1.713 6.341 1.000
3.314 -4.284 -3.848
-15.744 -7.405 -1.120
Ac La Tm
5 2 2
Cartesian
-2.741 2.623 0.345
-11.402 -7.971 -4.313
-10.155 0.795 0.086
-3.988 -6.143 -4.054
0.000 0.000 0.000
-11.036 -2.897 -0.445
-3.107 -2.451 -3.523
-10.468 -4.360 -3.805
-3.675 -0.988 -0.164
```



## AcLa2Tm (PBE-GGA)

Data for a relaxed AcLa2Tm crystal.

Computed properties:
The value obtained for the polymorph energy (0 for the lowest one) is 17.7 meV per atom. For the volume, the calculation gives 148.8 Å³/cell. The formation energy comes out at 0.040 eV/atom. For the density, the calculation gives 7.5 g cm⁻³.

Structure (POSCAR):
```
AcLa2Tm
1.0
3.792 0.000 0.000
0.000 3.792 0.000
0.000 0.000 10.348
Ac Tm La
1 1 2
Cartesian
1.896 1.896 5.174
1.896 1.896 0.000
0.000 0.000 7.939
0.000 0.000 2.409
```